VASP calculation (GGA-PBE) on a relaxed TlMo2S crystal.

For the formation energy from raw total energies, the calculation gives 0.751 eV/atom. The energy above the most stable polymorph in this dataset comes out at 0.1237 eV per atom. The electronic total energy is -6.29 eV/atom. As for the crystal system: cubic.

The structure belongs to space group Fm-3m (No. 225); the cell edges are 6.4356, 6.4356 and 6.4356 Å and the angles 90.00°, 90.00° and 90.00°. The inequivalent atoms are Tl at (0.0000, 0.0000, 0.0000), Mo at (0.2500, 0.2500, 0.2500) and S at (0.0000, 0.0000, 0.5000).

***

VASP calculation (GGA-PBE) on a relaxed SrLiMgAu2 crystal.

Its energy of formation is 502.1 meV per atom. The energy above the most stable polymorph in this dataset comes out at 1.1303 eV per atom. The electronic total energy is -1.85 eV/atom. As for the crystal system: tetragonal.

The structure belongs to space group P4/mmm (No. 123); the cell edges are 5.6935, 5.6935 and 6.1324 Å and the angles 90.00°, 90.00° and 90.00°. The inequivalent atoms are Sr at (0.0000, 0.0000, 0.0000), Li at (0.0000, 0.0000, 0.5000), Mg at (0.5000, 0.5000, 0.5000) and Au at (0.0000, 0.5000, 0.0000).